1.
# Rb2HgGe2S6

A geometry-optimized Rb2HgGe2S6 structure (GGA-PBE, Alexandria via LeMat-Bulk).

Output
The volume is 344 Å³ per cell. As for the raw formation energy: -0.45 eV/atom. The density of states at the Fermi level comes out at 0.19 states/eV per atom.

Cell lengths 7.145, 7.145, 8.810 Å; angles 66.08, 66.08, 60.00 degrees
Atoms (fractional coordinates):
S  0.755  0.237  0.253
S  0.763  0.245  0.747
S  0.755  0.755  0.253
S  0.245  0.245  0.747
S  0.237  0.755  0.253
S  0.245  0.763  0.747
Hg  0.000  0.000  0.000
Rb  0.782  0.782  0.654
Rb  0.218  0.218  0.346
Ge  0.589  0.589  0.234
Ge  0.411  0.411  0.766

2.
# RbHgGe2S6

A geometry-optimized RbHgGe2S6 structure (GGA-PBE, Alexandria via LeMat-Bulk).

Output
The volume is 591 Å³ per cell. As for the raw formation energy: -0.34 eV/atom. The density of states at the Fermi level comes out at 0.47 states/eV per atom.

Cell lengths 6.239, 9.830, 9.830 Å; angles 92.32, 82.43, 82.43 degrees
Atoms (fractional coordinates):
S  0.956  0.301  0.409
S  0.472  0.852  0.431
S  0.544  0.591  0.699
S  0.792  0.786  0.964
S  0.528  0.148  0.569
S  0.208  0.214  0.036
S  0.044  0.699  0.591
S  0.708  0.036  0.214
S  0.028  0.569  0.148
S  0.972  0.431  0.852
S  0.456  0.409  0.301
S  0.292  0.964  0.786
Rb  0.250  0.878  0.122
Rb  0.750  0.122  0.878
Ge  0.154  0.356  0.215
Ge  0.846  0.644  0.785
Ge  0.654  0.215  0.356
Ge  0.346  0.785  0.644
Hg  0.250  0.320  0.680
Hg  0.750  0.680  0.320

3.
# RbHg2GeS4

A geometry-optimized RbHg2GeS4 structure (GGA-PBE, Alexandria via LeMat-Bulk).

Output
The volume is 218 Å³ per cell. As for the raw formation energy: -0.41 eV/atom. The density of states at the Fermi level comes out at 0.31 states/eV per atom.

Cell lengths 7.078, 7.078, 6.599 Å; angles 121.79, 121.79, 91.00 degrees
Atoms (fractional coordinates):
S  0.532  0.532  0.690
S  0.822  0.451  0.273
S  0.158  0.158  0.690
S  0.451  0.822  0.273
Hg  0.273  0.773  0.546
Hg  0.773  0.273  0.546
Rb  0.996  0.996  0.991
Ge  0.497  0.497  0.994

4.
# Rb2HgGeS4

A geometry-optimized Rb2HgGeS4 structure (GGA-PBE, Alexandria via LeMat-Bulk).

Output
The volume is 239 Å³ per cell. As for the raw formation energy: -0.72 eV/atom. The density of states at the Fermi level comes out at 0.00 states/eV per atom.

Cell lengths 6.801, 6.801, 6.801 Å; angles 101.83, 113.42, 113.42 degrees
Atoms (fractional coordinates):
Hg  0.500  0.250  0.750
S  0.360  0.847  0.782
S  0.934  0.513  0.153
S  0.066  0.218  0.579
S  0.640  0.421  0.487
Ge  0.000  0.500  0.500
Rb  0.500  0.750  0.250
Rb  0.000  0.000  0.000

5.
# RbHgGeSb2

A geometry-optimized RbHgGeSb2 structure (GGA-PBE, Alexandria via LeMat-Bulk).

Output
The volume is 225 Å³ per cell. As for the raw formation energy: 1.29 eV/atom. The density of states at the Fermi level comes out at 0.94 states/eV per atom.

Cell lengths 6.148, 5.942, 6.148 Å; angles 90.00, 90.00, 90.00 degrees
Atoms (fractional coordinates):
Ge  0.500  0.500  0.500
Sb  0.000  0.000  0.500
Sb  0.500  0.000  0.000
Hg  0.000  0.500  0.000
Rb  0.000  0.000  0.000

6.
# Rb2HgGeSe4

A geometry-optimized Rb2HgGeSe4 structure (GGA-PBE, Alexandria via LeMat-Bulk).

Output
The volume is 272 Å³ per cell. As for the raw formation energy: -0.70 eV/atom.

Cell lengths 7.088, 7.088, 7.088 Å; angles 103.49, 112.54, 112.54 degrees
Atoms (fractional coordinates):
Rb  0.000  0.000  0.000
Rb  0.500  0.750  0.250
Ge  0.000  0.500  0.500
Se  0.366  0.854  0.790
Se  0.064  0.210  0.576
Se  0.634  0.424  0.488
Se  0.936  0.512  0.146
Hg  0.500  0.250  0.750

7.
# RbHg2GeSe

A geometry-optimized RbHg2GeSe structure (GGA-PBE, Alexandria via LeMat-Bulk).

Output
The volume is 161 Å³ per cell. As for the raw formation energy: -0.24 eV/atom. The density of states at the Fermi level comes out at 0.38 states/eV per atom.

Cell lengths 5.416, 5.416, 5.482 Å; angles 90.00, 90.00, 90.00 degrees
Atoms (fractional coordinates):
Rb  0.500  0.500  0.500
Se  0.000  0.000  0.500
Hg  0.000  0.500  0.000
Hg  0.500  0.000  0.000
Ge  0.000  0.000  0.000

8.
# RbTcHgGe2

A geometry-optimized RbTcHgGe2 structure (GGA-PBE, Alexandria via LeMat-Bulk).

Output
The formation energy is -0.2 eV/f.u. The volume is 130 Å³ per cell. The density of states at the Fermi level comes out at 0.22 states/eV per atom.

Cell lengths 4.848, 4.848, 5.539 Å; angles 90.00, 90.00, 90.00 degrees
Atoms (fractional coordinates):
Ge  0.500  0.000  0.000
Ge  0.000  0.500  0.000
Tc  0.000  0.000  0.000
Rb  0.500  0.500  0.500
Hg  0.000  0.000  0.500

9.
# RbHg2GeTe4

A geometry-optimized RbHg2GeTe4 structure (GGA-PBE, Alexandria via LeMat-Bulk).

Output
The volume is 313 Å³ per cell. As for the raw formation energy: -0.28 eV/atom. The density of states at the Fermi level comes out at 0.54 states/eV per atom.

Cell lengths 7.288, 7.500, 7.500 Å; angles 78.60, 60.93, 60.93 degrees
Atoms (fractional coordinates):
Hg  0.500  0.328  0.672
Hg  0.500  0.672  0.328
Te  0.391  0.147  0.484
Te  0.978  0.484  0.147
Te  0.022  0.853  0.516
Te  0.609  0.516  0.853
Ge  0.000  0.500  0.500
Rb  0.000  0.000  0.000

10.
# Rb2HgGeTe4

A geometry-optimized Rb2HgGeTe4 structure (GGA-PBE, Alexandria via LeMat-Bulk).

Output
The volume is 703 Å³ per cell. As for the raw formation energy: -0.47 eV/atom.

Cell lengths 7.090, 8.239, 13.797 Å; angles 83.65, 75.11, 64.52 degrees
Atoms (fractional coordinates):
Te  0.233  0.204  0.890
Te  0.326  0.796  0.110
Te  0.878  0.796  0.890
Te  0.424  0.704  0.390
Te  0.563  0.204  0.110
Te  0.872  0.704  0.610
Te  0.187  0.296  0.390
Te  0.517  0.296  0.610
Rb  0.936  0.500  0.127
Rb  0.564  0.500  0.873
Rb  0.186  0.000  0.627
Rb  0.814  0.000  0.373
Ge  0.250  0.500  0.500
Ge  0.500  0.000  0.000
Hg  0.000  0.000  0.000
Hg  0.750  0.500  0.500

11.
# RbTlHg2Ge

A geometry-optimized RbTlHg2Ge structure (GGA-PBE, Alexandria via LeMat-Bulk).

Output
The formation energy is 0.1 eV/f.u. The volume is 184 Å³ per cell. The density of states at the Fermi level comes out at 0.51 states/eV per atom.

Cell lengths 5.745, 5.745, 5.567 Å; angles 90.00, 90.00, 90.00 degrees
Atoms (fractional coordinates):
Hg  0.500  0.000  0.000
Hg  0.000  0.500  0.000
Ge  0.000  0.000  0.000
Rb  0.500  0.500  0.500
Tl  0.000  0.000  0.500

12.
# Rb2TlHgGe

A geometry-optimized Rb2TlHgGe structure (GGA-PBE, Alexandria via LeMat-Bulk).

Output
The formation energy is 0.1 eV/f.u. The volume is 261 Å³ per cell. The density of states at the Fermi level comes out at 0.28 states/eV per atom.

Cell lengths 6.952, 6.952, 5.401 Å; angles 90.00, 90.00, 90.00 degrees
Atoms (fractional coordinates):
Hg  0.500  0.500  0.500
Tl  0.000  0.000  0.500
Ge  0.000  0.000  0.000
Rb  0.000  0.500  0.000
Rb  0.500  0.000  0.000

13.
# RbTl2HgGe

A geometry-optimized RbTl2HgGe structure (GGA-PBE, Alexandria via LeMat-Bulk).

Output
The formation energy is 0.4 eV/f.u. The volume is 184 Å³ per cell. The density of states at the Fermi level comes out at 0.45 states/eV per atom.

Cell lengths 5.648, 5.648, 5.770 Å; angles 90.00, 90.00, 90.00 degrees
Atoms (fractional coordinates):
Hg  0.000  0.000  0.500
Ge  0.000  0.000  0.000
Rb  0.500  0.500  0.500
Tl  0.000  0.500  0.000
Tl  0.500  0.000  0.000

14.
# Re2HgGeTe

A geometry-optimized Re2HgGeTe structure (GGA-PBE, Alexandria via LeMat-Bulk).

Output
The volume is 111 Å³ per cell. As for the raw formation energy: 1.66 eV/atom. The density of states at the Fermi level comes out at 1.20 states/eV per atom.

Cell lengths 4.740, 4.956, 4.740 Å; angles 90.00, 90.00, 90.00 degrees
Atoms (fractional coordinates):
Re  0.000  0.000  0.500
Re  0.500  0.000  0.000
Te  0.500  0.500  0.500
Ge  0.000  0.000  0.000
Hg  0.000  0.500  0.000

15.
# Hg3GeRh

A geometry-optimized Hg3GeRh structure (GGA-PBE, Alexandria via LeMat-Bulk).

Output
For the energy above the most stable polymorph in this dataset, the calculation gives 0.368 eV/atom. The formation energy is 4.6 eV/f.u. The volume is 133 Å³ per cell. The density of states at the Fermi level comes out at 0.95 states/eV per atom.

Cell lengths 5.110, 5.110, 5.110 Å; angles 90.00, 90.00, 90.00 degrees
Atoms (fractional coordinates):
Ge  0.000  0.000  0.000
Hg  0.000  0.500  0.000
Hg  0.000  0.000  0.500
Hg  0.500  0.000  0.000
Rh  0.500  0.500  0.500

16.
# Hg2GeRh2

A geometry-optimized Hg2GeRh2 structure (GGA-PBE, Alexandria via LeMat-Bulk).

Output
The formation energy is -0.5 eV/f.u. The volume is 183 Å³ per cell. The density of states at the Fermi level comes out at 0.56 states/eV per atom.

Cell lengths 6.383, 6.383, 4.480 Å; angles 90.00, 90.00, 90.00 degrees
Atoms (fractional coordinates):
Rh  0.154  0.346  0.000
Rh  0.346  0.846  0.000
Rh  0.846  0.654  0.000
Rh  0.654  0.154  0.000
Hg  0.660  0.840  0.500
Hg  0.340  0.160  0.500
Hg  0.160  0.660  0.500
Hg  0.840  0.340  0.500
Ge  0.500  0.500  0.000
Ge  0.000  0.000  0.000

17.
# Hg3GeRh

A geometry-optimized Hg3GeRh structure (GGA-PBE, Alexandria via LeMat-Bulk).

Output
For the energy above the most stable polymorph in this dataset, the calculation gives 0.000 eV/atom. The formation energy is 2.8 eV/f.u. The volume is 139 Å³ per cell. The density of states at the Fermi level comes out at 0.90 states/eV per atom.

Cell lengths 5.178, 5.178, 5.178 Å; angles 90.00, 90.00, 90.00 degrees
Atoms (fractional coordinates):
Hg  0.000  0.500  0.000
Hg  0.000  0.000  0.500
Hg  0.500  0.000  0.000
Ge  0.500  0.500  0.500
Rh  0.000  0.000  0.000

18.
# HgGe2Rh

A geometry-optimized HgGe2Rh structure (GGA-PBE, Alexandria via LeMat-Bulk).

Output
The formation energy is 0.7 eV/f.u. The volume is 194 Å³ per cell. The density of states at the Fermi level comes out at 0.48 states/eV per atom.

Cell lengths 6.407, 6.407, 6.542 Å; angles 60.68, 60.68, 90.00 degrees
Atoms (fractional coordinates):
Ge  0.375  0.424  0.750
Ge  0.174  0.625  0.250
Ge  0.875  0.826  0.750
Ge  0.576  0.125  0.250
Rh  0.500  0.500  0.000
Rh  0.250  0.750  0.500
Hg  0.750  0.250  0.500
Hg  0.000  0.000  0.000

19.
# HgGe3Rh

A geometry-optimized HgGe3Rh structure (GGA-PBE, Alexandria via LeMat-Bulk).

Output
For the energy above the most stable polymorph in this dataset, the calculation gives 0.000 eV/atom. The formation energy is 0.8 eV/f.u. The volume is 113 Å³ per cell. The density of states at the Fermi level comes out at 0.53 states/eV per atom.

Cell lengths 4.840, 4.840, 4.840 Å; angles 90.00, 90.00, 90.00 degrees
Atoms (fractional coordinates):
Ge  0.500  0.000  0.000
Ge  0.000  0.000  0.500
Ge  0.000  0.500  0.000
Rh  0.000  0.000  0.000
Hg  0.500  0.500  0.500

20.
# Hg2GeRh

A geometry-optimized Hg2GeRh structure (GGA-PBE, Alexandria via LeMat-Bulk).

Output
The formation energy is 0.2 eV/f.u. The volume is 255 Å³ per cell. The density of states at the Fermi level comes out at 0.44 states/eV per atom.

Cell lengths 10.480, 10.480, 7.766 Å; angles 47.57, 47.57, 90.00 degrees
Atoms (fractional coordinates):
Hg  0.875  0.125  0.750
Hg  0.875  0.125  0.250
Hg  0.875  0.625  0.250
Hg  0.375  0.125  0.750
Ge  0.500  0.500  0.000
Ge  0.250  0.750  0.500
Rh  0.750  0.250  0.500
Rh  0.000  0.000  0.000

21.
# HgGe2Rh

A geometry-optimized HgGe2Rh structure (GGA-PBE, Alexandria via LeMat-Bulk).

Output
The formation energy is -0.5 eV/f.u. The volume is 78 Å³ per cell. The density of states at the Fermi level comes out at 0.48 states/eV per atom.

Cell lengths 3.236, 3.236, 8.839 Å; angles 79.45, 79.45, 60.00 degrees
Atoms (fractional coordinates):
Hg  0.000  0.000  0.000
Rh  0.500  0.500  0.500
Ge  0.899  0.899  0.303
Ge  0.101  0.101  0.697

22.
# HgGeRh

A geometry-optimized HgGeRh structure (GGA-PBE, Alexandria via LeMat-Bulk).

Output
The formation energy is -0.1 eV/f.u. The volume is 128 Å³ per cell. The density of states at the Fermi level comes out at 0.50 states/eV per atom.

Cell lengths 3.994, 3.994, 9.521 Å; angles 77.89, 77.89, 60.00 degrees
Atoms (fractional coordinates):
Rh  0.199  0.199  0.404
Rh  0.801  0.801  0.596
Hg  0.630  0.630  0.110
Hg  0.370  0.370  0.890
Ge  0.892  0.892  0.324
Ge  0.108  0.108  0.676

23.
# HgGeRh2S

A geometry-optimized HgGeRh2S structure (GGA-PBE, Alexandria via LeMat-Bulk).

Output
The volume is 121 Å³ per cell. As for the raw formation energy: 1.41 eV/atom. The density of states at the Fermi level comes out at 1.40 states/eV per atom.

Cell lengths 5.063, 4.720, 5.063 Å; angles 90.00, 90.00, 90.00 degrees
Atoms (fractional coordinates):
Hg  0.000  0.000  0.000
Rh  0.000  0.000  0.500
Rh  0.500  0.000  0.000
Ge  0.500  0.500  0.500
S  0.000  0.500  0.000

24.
# Sm2HgGe2Rh5

A geometry-optimized Sm2HgGe2Rh5 structure (GGA-PBE, Alexandria via LeMat-Bulk).

Output
The formation energy is -6.9 eV/f.u. The volume is 358 Å³ per cell. The density of states at the Fermi level comes out at 0.16 states/eV per atom.

Cell lengths 3.644, 9.915, 9.915 Å; angles 90.00, 90.00, 90.00 degrees
Atoms (fractional coordinates):
Rh  0.500  0.786  0.932
Rh  0.500  0.000  0.500
Rh  0.500  0.432  0.286
Rh  0.500  0.714  0.432
Rh  0.500  0.068  0.786
Rh  0.500  0.214  0.068
Rh  0.500  0.568  0.714
Rh  0.500  0.286  0.568
Rh  0.500  0.932  0.214
Rh  0.500  0.500  0.000
Sm  0.000  0.825  0.675
Sm  0.000  0.325  0.825
Sm  0.000  0.675  0.175
Sm  0.000  0.175  0.325
Ge  0.000  0.877  0.377
Ge  0.000  0.623  0.877
Ge  0.000  0.123  0.623
Ge  0.000  0.377  0.123
Hg  0.000  0.500  0.500
Hg  0.000  0.000  0.000

25.
# SrHgGe2Rh

A geometry-optimized SrHgGe2Rh structure (GGA-PBE, Alexandria via LeMat-Bulk).

Output
The formation energy is 6.4 eV/f.u. The volume is 162 Å³ per cell. The density of states at the Fermi level comes out at 1.11 states/eV per atom.

Cell lengths 5.726, 4.941, 5.726 Å; angles 90.00, 90.00, 90.00 degrees
Atoms (fractional coordinates):
Hg  0.500  0.500  0.500
Ge  0.000  0.000  0.500
Ge  0.500  0.000  0.000
Rh  0.000  0.500  0.000
Sr  0.000  0.000  0.000